Be3Co | GGA-PBEsol | relaxed

## Properties
total moment	0.0	Bohr magnetons per cell
energy relative to the elements	-0.2587	eV/atom
space-group type	I4/mmm, No. 139

Geometry as POSCAR:
```
Be3Co
1.0
-1.587 1.587 6.465
1.587 -1.587 6.465
1.587 1.587 -6.465
Be Co
6 2
direct
0.000 0.500 0.500
0.129 0.129 0.000
0.250 0.750 0.500
0.500 0.000 0.500
0.750 0.250 0.500
0.871 0.871 0.000
0.379 0.379 0.000
0.621 0.621 0.000
```


Ca2SiP3 | GGA-PBEsol | relaxed

## Properties
total moment	0.0	Bohr magnetons per cell
E_form (uncorrected)	-54	kJ per mole of atoms
space-group type	P-3m1, No. 164

Geometry as POSCAR:
```
Ca2SiP3
1.0
3.629 0.000 0.000
-1.815 3.143 0.000
0.000 0.000 10.427
Ca Si P
2 1 3
direct
0.333 0.667 0.320
0.667 0.333 0.680
0.000 0.000 0.000
0.000 0.000 0.500
0.333 0.667 0.877
0.667 0.333 0.123
```


In2TeCl | GGA-PBEsol | relaxed

## Properties
total moment	0.0	Bohr magnetons per cell
E_form (uncorrected)	-40	kJ per mole of atoms
space-group type	Fm-3m, No. 225
polymorph energy (0 for the lowest one)	17	meV per atom

Geometry as POSCAR:
```
In2TeCl
1.0
0.000 3.730 3.730
3.730 0.000 3.730
3.730 3.730 0.000
In Te Cl
2 1 1
direct
0.250 0.250 0.250
0.750 0.750 0.750
0.000 0.000 0.000
0.500 0.500 0.500
```


SrOs2Pt | GGA-PBEsol | relaxed

## Properties
total moment	0.0	Bohr magnetons per cell
energy relative to the elements	0.7876	eV/atom
space-group type	Imm2, No. 44
polymorph energy (0 for the lowest one)	101	meV per atom

Geometry as POSCAR:
```
SrOs2Pt
1.0
-1.828 2.442 4.238
1.828 -2.442 4.238
1.828 2.442 -4.238
Sr Os Pt
1 2 1
direct
0.000 0.000 0.000
0.293 0.793 0.500
0.478 0.478 0.000
0.709 0.209 0.500
```


CuRuCl2 | GGA-PBEsol | relaxed

## Properties
total moment	0.0	Bohr magnetons per cell
E_form (uncorrected)	23	kJ per mole of atoms
space-group type	Cmm2, No. 35
polymorph energy (0 for the lowest one)	0	meV per atom

Geometry as POSCAR:
```
CuRuCl2
1.0
1.477 -2.650 0.000
1.477 2.650 0.000
0.000 0.000 8.667
Cu Ru Cl
1 1 2
direct
0.000 0.000 0.000
0.500 0.500 0.235
0.000 0.000 0.441
0.500 0.500 0.808
```


CuSbRh2 | GGA-PBEsol | relaxed

## Properties
total moment	0.0	Bohr magnetons per cell
E_form (uncorrected)	-10	kJ per mole of atoms
space-group type	Cm, No. 8
polymorph energy (0 for the lowest one)	200	meV per atom

Geometry as POSCAR:
```
CuSbRh2
1.0
4.619 -1.520 0.000
4.619 1.520 0.000
-1.261 0.000 4.209
Cu Sb Rh
1 1 2
direct
0.000 0.000 0.000
0.746 0.746 0.360
0.260 0.260 0.876
0.490 0.490 0.502
```